{
  "formula": "NaVSeO5",
  "functional": "GGA+U",
  "state": "relaxed",
  "lattice_angstrom": [[5.499, 0.365, -0.170], [-1.256, 5.366, -0.170], [-1.958, -2.645, 6.926]],
  "species": ["O", "O", "O", "O", "O", "O", "O", "O", "O", "O", "V", "V", "Na", "Na", "Se", "Se"],
  "frac_coords": [[0.372, 0.243, 0.119], [0.991, 0.009, 0.750], [0.628, 0.757, 0.881], [0.702, 0.132, 0.448], [0.243, 0.372, 0.619], [0.757, 0.628, 0.381], [0.868, 0.298, 0.052], [0.298, 0.868, 0.552], [0.009, 0.991, 0.250], [0.132, 0.702, 0.948], [0.000, 0.000, 0.000], [0.000, 0.000, 0.500], [0.679, 0.321, 0.750], [0.321, 0.679, 0.250], [0.293, 0.707, 0.750], [0.707, 0.293, 0.250]],
  "space_group": "No. 15",
  "energy_ev_per_fu": -47.39,
  "n_ef_per_ev_atom": 0.0553,
  "density_g_cm3": 3.813
}